This record from OQMD via LeMat-Bulk describes an optimized crystal structure of NaGdCuTe3. The functional is PBE-GGA.

Cell and atoms, written as CIF:
```
data_NaGdCuTe3
_cell_length_a 4.160
_cell_length_b 14.989
_cell_length_c 11.223
_cell_angle_alpha 90.00
_cell_angle_beta 90.00
_cell_angle_gamma 90.00
_space_group_name_H-M_alt 'C m c m'
_space_group_IT_number 63
_space_group_name_Hall '-C 2c 2'
loop_
_atom_site_label
_atom_site_fract_x
_atom_site_fract_y
_atom_site_fract_z
Na1 0.000 0.243 0.250
Gd1 0.000 0.000 0.000
Cu1 0.000 0.475 0.750
Te1 0.000 0.086 0.750
Te2 0.000 0.360 0.573
```

Summary:
Spin magnetization in μB/cell: 0.11
ΔE to the lowest computed polymorph in meV per atom: 0